1.
A plane-wave DFT calculation with PBE was carried out for an optimized crystal structure of RbNaHg4.

```
RbNaHg4
1.0
-2.6370 4.0482 4.5733
2.6370 -4.0482 4.5733
2.6370 4.0482 -4.5733
Rb Na Hg
1 1 4
direct
0.0000 0.0000 0.0000
0.3976 0.8976 0.5000
0.4157 0.6070 0.8087
0.5854 0.2830 0.3024
0.7983 0.6070 0.1913
0.9806 0.2830 0.6976
```

Computed properties:
E (eV/atom): -0.80


2.
A plane-wave DFT calculation with PBE was carried out for an optimized crystal structure of LiUIn.

```
LiUIn
1.0
0.0000 3.1917 3.1917
3.1917 0.0000 3.1917
3.1917 3.1917 0.0000
Li U In
1 1 1
direct
0.0000 0.0000 0.0000
0.2500 0.2500 0.2500
0.7500 0.7500 0.7500
```

Computed properties:
Spin magnetization (μB per formula unit): 2.1
E (eV/atom): -4.60


3.
A plane-wave DFT calculation with PBE was carried out for an optimized crystal structure of YTcPO.

```
YTcPO
1.0
4.0446 0.0000 0.0000
0.0000 6.0679 0.0000
0.0000 0.0000 5.5411
Y Tc P O
2 2 2 2
direct
0.0000 0.1667 0.0000
0.0000 0.8333 0.5000
0.5000 0.4563 0.7522
0.5000 0.5437 0.2522
0.0000 0.3217 0.5163
0.0000 0.6783 0.0163
0.5000 0.2515 0.0601
0.5000 0.7485 0.5601
```

Computed properties:
Spin magnetization (μB per formula unit): 0.0
E (eV/atom): -8.04


4.
A plane-wave DFT calculation with PBE was carried out for an optimized crystal structure of DyErSiGeOs.

```
DyErSiGeOs
1.0
5.3474 -2.1445 0.0000
5.3474 2.1445 0.0000
-4.7376 0.0000 8.7760
Dy Er Si Ge Os
2 2 2 2 2
direct
0.1845 0.1845 0.1092
0.8155 0.8155 0.8908
0.0040 0.0040 0.6786
0.9960 0.9960 0.3214
0.4968 0.4968 0.1244
0.5032 0.5032 0.8756
0.3580 0.3580 0.4372
0.6420 0.6420 0.5628
0.2732 0.2732 0.6342
0.7268 0.7268 0.3658
```

Computed properties:
Spin magnetization (μB per formula unit): 0.0
E (eV/atom): -6.79


5.
A plane-wave DFT calculation with PBE was carried out for an optimized crystal structure of HoReAu.

```
HoReAu
1.0
0.0000 3.2874 3.2874
3.2874 0.0000 3.2874
3.2874 3.2874 0.0000
Ho Re Au
1 1 1
direct
0.0000 0.0000 0.0000
0.2500 0.2500 0.2500
0.7500 0.7500 0.7500
```

Computed properties:
Spin magnetization (μB per formula unit): 2.6
ΔH_f (0 K) (meV per atom): 1085
E (eV/atom): -5.67


6.
A plane-wave DFT calculation with PBE was carried out for an optimized crystal structure of KDyNO.

```
KDyNO
1.0
3.8980 0.0000 0.0000
0.0000 3.8980 0.0000
0.0000 0.0000 8.7550
K Dy N O
2 2 2 2
direct
0.2500 0.7500 0.0000
0.7500 0.2500 0.0000
0.2500 0.2500 0.3756
0.7500 0.7500 0.6244
0.2500 0.2500 0.7908
0.7500 0.7500 0.2092
0.2500 0.7500 0.5000
0.7500 0.2500 0.5000
```

Computed properties:
Spin magnetization (μB per formula unit): 1.0
E (eV/atom): -5.64


Number 1: ρ 7.74 Mg/m³. Number 2: ρ 9.19 Mg/m³. Number 3: ρ 5.71 Mg/m³. Number 4: ρ 10.24 Mg/m³. Number 5: ρ 12.81 Mg/m³. Number 6: ρ 5.78 Mg/m³.